DFT (GGA-PBEsol) results for a geometry-optimized Mn3W2 structure.

Values from the calculation:
Magnetization = 2.2 μB/f.u.
Energy = -10.78 eV/atom

Cell: 4.0715 4.0715 4.9532 Å, 90.00 90.00 120.00°
Last column: magnetic moment on the atom in μB.
Positions (direct):
Mn1 0.0000 0.0000 0.0000  1.17
Mn2 0.3333 0.6667 0.3306  0.82
Mn3 0.6667 0.3333 0.6694  0.82
W1 0.3333 0.6667 0.8149  -0.31
W2 0.6667 0.3333 0.1851  -0.31